No. 1
Na2SmCdPb2 GGA-PBE relaxed; ΔE_f = -0.2670 eV per atom; space-group type = Pmc2_1; energy = -2.88 eV per atom; density of states at the Fermi level = 6.580 states/eV per cell
1.0
-1.035 -0.863 4.707
-6.346 -3.740 -2.081
4.847 -8.001 -0.401
Na Sm Cd Pb
4 2 2 4
Direct
0.500 0.036 0.064
0.000 0.338 0.167
0.500 0.536 0.936
0.000 0.838 0.833
0.000 0.990 0.465
0.000 0.490 0.535
0.500 0.153 0.687
0.500 0.653 0.313
0.000 0.267 0.835
0.500 0.261 0.377
0.000 0.767 0.165
0.500 0.761 0.623


No. 2
Na2CdSnPb GGA-PBE relaxed; ΔE_f = 0.2278 eV per atom; space-group type = P4/mmm; energy = -2.03 eV per atom; density of states at the Fermi level = 1.776 states/eV per cell
1.0
-4.566 -2.329 3.104
0.528 -4.950 -2.936
3.842 -2.036 4.124
Pb Na Sn Cd
1 2 1 1
Direct
0.000 0.000 0.000
0.000 0.000 0.500
0.500 0.000 0.000
0.000 0.500 0.000
0.500 0.500 0.500


No. 3
Na2Cd2Sn2Pb GGA-PBE relaxed; ΔE_f = -0.0749 eV per atom; space-group type = R-3m; energy = -2.39 eV per atom; density of states at the Fermi level = 2.687 states/eV per cell
1.0
5.085 0.000 0.000
2.542 4.404 0.000
2.542 1.468 8.900
Na Cd Sn Pb
2 2 2 1
Direct
0.133 0.133 0.602
0.867 0.867 0.398
0.605 0.605 0.185
0.395 0.395 0.815
0.743 0.743 0.772
0.257 0.257 0.228
0.000 0.000 0.000


No. 4
Na2Cd4Sn3Pb GGA-PBE relaxed; ΔE_f = -0.0683 eV per atom; space-group type = P-4m2; energy = -2.27 eV per atom; density of states at the Fermi level = 3.585 states/eV per cell
1.0
4.703 0.000 0.000
0.000 4.703 0.000
0.000 0.000 13.051
Na Cd Sn Pb
2 4 3 1
Direct
0.500 0.000 0.239
0.000 0.500 0.761
0.500 0.500 0.000
0.000 0.000 0.000
0.500 0.000 0.650
0.000 0.500 0.350
0.000 0.000 0.500
0.500 0.000 0.863
0.000 0.500 0.137
0.500 0.500 0.500


No. 5
Na2TaCdPb GGA-PBE relaxed; ΔE_f = 0.9878 eV per atom; space-group type = P4/mmm; energy = -2.84 eV per atom; density of states at the Fermi level = 4.327 states/eV per cell
1.0
-4.796 0.897 1.425
-0.815 -5.363 0.632
1.503 0.342 4.843
Pb Na Cd Ta
1 2 1 1
Direct
0.500 0.500 0.500
0.000 0.000 0.500
0.500 0.000 0.000
0.000 0.000 0.000
0.000 0.500 0.000


No. 6
NaTbCdPb GGA-PBE relaxed; ΔE_f = -0.2827 eV per atom; E above lowest polymorph = 4.9 meV per atom; space-group type = F-43m; energy = -2.93 eV per atom; density of states at the Fermi level = 1.366 states/eV per cell
1.0
-1.091 -2.804 -4.404
2.225 -4.792 -0.730
-2.991 -4.405 0.315
Pb Na Tb Cd
1 1 1 1
Direct
0.250 0.250 0.250
0.000 0.000 0.000
0.500 0.500 0.500
0.750 0.750 0.750


No. 7
NaTbCdPb GGA-PBE relaxed; ΔE_f = -0.2875 eV per atom; E above lowest polymorph = 0.0 meV per atom; space-group type = Pmmm; energy = -2.93 eV per atom; density of states at the Fermi level = 1.411 states/eV per cell
1.0
4.061 0.000 0.000
0.000 5.006 0.000
0.000 0.000 5.287
Na Tb Cd Pb
1 1 1 1
Direct
0.000 0.000 0.000
0.000 0.500 0.500
0.500 0.500 0.000
0.500 0.000 0.500


No. 8
NaCdTe4Pb2 GGA-PBE relaxed; space-group type = P2/m; energy = -3.18 eV per atom; density of states at the Fermi level = 4.090 states/eV per cell
1.0
4.458 0.000 0.000
0.000 7.787 -0.168
0.000 2.720 7.336
Na Cd Te Pb
1 1 4 2
Direct
0.000 0.500 0.500
0.500 0.500 0.000
0.000 0.735 0.763
0.000 0.265 0.237
0.500 0.741 0.244
0.500 0.259 0.756
0.000 0.000 0.000
0.500 0.000 0.500


No. 9
Na2Tl4CdPb2 GGA-PBE relaxed; ΔE_f = 0.0530 eV per atom; space-group type = I4/mmm; energy = -2.22 eV per atom; density of states at the Fermi level = 5.204 states/eV per cell
1.0
7.282 -0.044 -0.063
-3.534 6.367 0.063
-3.534 -2.178 5.983
Na Tl Cd Pb
2 4 1 2
Direct
0.000 0.718 0.718
0.000 0.282 0.282
0.000 0.724 0.276
0.449 0.724 0.724
0.000 0.276 0.724
0.551 0.276 0.276
0.000 0.000 0.000
0.500 0.750 0.250
0.500 0.250 0.750


No. 10
Na4Tl2Cd2Pb GGA-PBE relaxed; ΔE_f = -0.1018 eV per atom; space-group type = P-1; energy = -1.83 eV per atom; density of states at the Fermi level = 3.058 states/eV per cell
1.0
5.637 0.911 -0.700
-0.072 9.005 0.686
-3.677 -4.205 5.036
Na Tl Cd Pb
4 2 2 1
Direct
0.454 0.781 0.885
0.668 0.679 0.354
0.546 0.219 0.115
0.332 0.321 0.646
0.102 0.451 0.218
0.898 0.549 0.782
0.214 0.901 0.443
0.786 0.099 0.557
0.000 0.000 0.000


No. 11
NaTl5Cd2Pb GGA-PBE relaxed; ΔE_f = 0.0027 eV per atom; space-group type = Cmc2_1; energy = -2.07 eV per atom; density of states at the Fermi level = 7.547 states/eV per cell
1.0
-2.286 -2.486 1.005
5.462 -4.702 -5.382
9.893 -3.724 13.293
Na Tl Cd Pb
2 10 4 2
Direct
0.568 0.137 0.941
0.432 0.863 0.441
0.391 0.781 0.963
0.750 0.500 0.870
0.600 0.201 0.753
0.326 0.652 0.715
0.981 0.962 0.615
0.609 0.219 0.463
0.250 0.500 0.370
0.400 0.799 0.253
0.674 0.348 0.215
0.019 0.038 0.115
0.953 0.906 0.812
0.166 0.332 0.614
0.047 0.094 0.312
0.834 0.668 0.114
0.799 0.598 0.539
0.201 0.402 0.039


No. 12
NaTl2CdPb GGA-PBE relaxed; ΔE_f = 0.0012 eV per atom; space-group type = Cmcm; energy = -2.13 eV per atom; density of states at the Fermi level = 5.295 states/eV per cell
1.0
-0.475 -0.775 -3.544
3.940 -6.714 2.828
-8.959 -4.351 2.152
Na Tl Cd Pb
2 4 2 2
Direct
0.853 0.706 0.750
0.147 0.294 0.250
0.191 0.382 0.907
0.809 0.618 0.093
0.191 0.382 0.593
0.809 0.618 0.407
0.538 0.076 0.750
0.462 0.924 0.250
0.000 0.000 0.000
0.000 0.000 0.500


No. 13
Na2Tl5CdPb GGA-PBE relaxed; ΔE_f = -0.0279 eV per atom; space-group type = Cmc2_1; energy = -2.15 eV per atom; density of states at the Fermi level = 8.948 states/eV per cell
1.0
4.938 0.000 0.000
-2.469 8.445 0.000
0.000 0.000 13.104
Na Tl Cd Pb
4 10 2 2
Direct
0.917 0.834 0.781
0.139 0.278 0.770
0.083 0.166 0.281
0.861 0.722 0.270
0.298 0.596 0.073
0.740 0.479 0.892
0.517 0.035 0.673
0.320 0.640 0.662
0.081 0.161 0.525
0.702 0.404 0.573
0.260 0.521 0.392
0.483 0.965 0.173
0.680 0.360 0.162
0.919 0.839 0.025
0.881 0.763 0.523
0.119 0.237 0.023
0.534 0.068 0.925
0.466 0.932 0.425


No. 14
Na2Tl5Cd2Pb GGA-PBE relaxed; ΔE_f = -0.0088 eV per atom; space-group type = P4/mbm; energy = -2.01 eV per atom; density of states at the Fermi level = 9.275 states/eV per cell
1.0
-3.862 2.466 0.985
0.222 -3.900 10.632
6.415 8.806 3.097
Na Tl Cd Pb
4 10 4 2
Direct
0.000 0.669 0.169
0.000 0.331 0.831
0.000 0.169 0.331
0.000 0.831 0.669
0.500 0.191 0.090
0.500 0.809 0.910
0.500 0.090 0.809
0.500 0.691 0.410
0.500 0.910 0.191
0.500 0.309 0.590
0.500 0.590 0.691
0.500 0.410 0.309
0.500 0.500 0.000
0.500 0.000 0.500
0.000 0.127 0.627
0.000 0.873 0.373
0.000 0.627 0.873
0.000 0.373 0.127
0.000 0.000 0.000
0.000 0.500 0.500


No. 15
Na2Tl2Cd2Pb GGA-PBE relaxed; ΔE_f = -0.0546 eV per atom; space-group type = R-3m; energy = -1.90 eV per atom; density of states at the Fermi level = 3.693 states/eV per cell
1.0
5.294 0.000 0.000
2.647 4.585 0.000
2.647 1.528 7.939
Na Tl Cd Pb
2 2 2 1
Direct
0.140 0.140 0.581
0.860 0.860 0.419
0.575 0.575 0.274
0.425 0.425 0.726
0.719 0.719 0.842
0.281 0.281 0.158
0.000 0.000 0.000


No. 16
Na2Tl4CdPb GGA-PBE relaxed; ΔE_f = -0.0102 eV per atom; space-group type = Cmcm; energy = -2.10 eV per atom; density of states at the Fermi level = 7.075 states/eV per cell
1.0
4.869 0.000 0.000
-2.435 6.220 0.000
0.000 0.000 16.319
Na Tl Cd Pb
4 8 2 2
Direct
0.305 0.611 0.585
0.695 0.389 0.085
0.695 0.389 0.415
0.305 0.611 0.915
0.385 0.769 0.103
0.615 0.231 0.603
0.615 0.231 0.897
0.385 0.769 0.397
0.000 0.000 0.500
0.000 0.000 0.000
0.444 0.889 0.750
0.556 0.111 0.250
0.800 0.599 0.750
0.200 0.401 0.250
0.127 0.254 0.750
0.873 0.746 0.250


No. 17
Na2TlCd2Pb2 GGA-PBE relaxed; ΔE_f = -0.0364 eV per atom; space-group type = C2/m; energy = -2.07 eV per atom; density of states at the Fermi level = 3.192 states/eV per cell
1.0
5.285 0.000 0.000
-2.643 4.142 -1.977
0.000 -2.834 10.763
Na Tl Cd Pb
2 1 2 2
Direct
0.786 0.571 0.651
0.214 0.429 0.349
0.000 0.000 0.500
0.714 0.428 0.130
0.286 0.572 0.870
0.561 0.122 0.788
0.439 0.878 0.212


No. 18
Na4Tl2CdPb2 GGA-PBE relaxed; ΔE_f = -0.1002 eV per atom; space-group type = P-1; energy = -2.14 eV per atom; density of states at the Fermi level = 2.935 states/eV per cell
1.0
5.616 1.335 -1.616
0.700 7.674 1.551
-4.636 -3.610 6.888
Na Tl Cd Pb
4 2 1 2
Direct
0.487 0.778 0.920
0.652 0.670 0.341
0.513 0.222 0.080
0.348 0.330 0.659
0.085 0.449 0.212
0.915 0.551 0.788
0.000 0.000 0.000
0.281 0.889 0.496
0.719 0.111 0.504


No. 19
NaTl4CdPb2 GGA-PBE relaxed; ΔE_f = -0.0205 eV per atom; space-group type = P2/m; energy = -2.41 eV per atom; density of states at the Fermi level = 3.288 states/eV per cell
1.0
5.886 0.000 0.000
0.000 5.526 1.526
0.000 3.690 8.298
Na Tl Cd Pb
1 4 1 2
Direct
0.000 0.500 0.500
0.000 0.751 0.751
0.000 0.249 0.249
0.500 0.757 0.244
0.500 0.243 0.756
0.500 0.500 0.000
0.000 0.000 0.000
0.500 0.000 0.500


No. 20
NaTlCd2Pb GGA-PBE relaxed; ΔE_f = 0.0074 eV per atom; space-group type = Cmcm; energy = -1.84 eV per atom; density of states at the Fermi level = 4.764 states/eV per cell
1.0
-1.836 -0.793 3.119
-2.514 -5.072 -4.971
7.801 -6.697 2.889
Na Tl Cd Pb
2 2 4 2
Direct
0.500 0.000 0.500
0.500 0.000 0.000
0.818 0.637 0.250
0.182 0.363 0.750
0.192 0.385 0.071
0.808 0.615 0.571
0.192 0.385 0.429
0.808 0.615 0.929
0.961 0.923 0.750
0.039 0.077 0.250